1.
! Rb2Mg12In7 (GGA-PBE, optimized geometry); values from VASP
! Symmetry   P-3
&SYSTEM
  ibrav = 0, nat = 21, ntyp = 3
/
ATOMIC_SPECIES
Mg 24.30 Mg.upf
In 114.82 In.upf
Rb 85.47 Rb.upf
CELL_PARAMETERS angstrom
-3.1182 1.1119 -3.4303
4.8037 -8.2653 -7.0455
-8.9756 -2.8518 7.2344
ATOMIC_POSITIONS crystal
Mg 0.7521 0.5707 0.6176
In 0.2542 0.4046 0.1171
Mg 0.2479 0.9531 0.5707
In 0.7458 0.1171 0.7125
Mg 0.7521 0.3824 0.9531
Mg 0.7601 0.8781 0.7352
Rb 0.7510 0.6667 0.3333
Mg 0.2399 0.7352 0.8570
Mg 0.7521 0.0469 0.4293
In 0.2542 0.8829 0.2875
Mg 0.2399 0.1430 0.8781
Mg 0.2399 0.1219 0.2648
Mg 0.7601 0.8570 0.1219
In 0.7458 0.5954 0.8829
In 0.2542 0.7125 0.5954
Mg 0.7601 0.2648 0.1430
In 0.7458 0.2875 0.4046
In 0.5000 0.0000 0.0000
Mg 0.2479 0.6176 0.0469
Mg 0.2479 0.4293 0.3824
Rb 0.2490 0.3333 0.6667

=====

2.
! RbMg6In6 (GGA-PBE, optimized geometry); values from VASP
! Symmetry   Immm
&SYSTEM
  ibrav = 0, nat = 13, ntyp = 3
/
ATOMIC_SPECIES
Mg 24.30 Mg.upf
In 114.82 In.upf
Rb 85.47 Rb.upf
CELL_PARAMETERS angstrom
-1.6078 -3.4412 -4.9337
6.1289 -4.1036 -3.0640
-2.0276 -7.4761 1.9464
ATOMIC_POSITIONS crystal
Mg 0.5000 0.0000 0.5000
In 0.3052 0.1948 0.1948
Rb 0.0000 0.0000 0.0000
In 0.0000 0.3513 0.6487
In 0.0000 0.6487 0.3513
In 0.6510 0.3490 0.3490
Mg 0.5000 0.2348 0.7652
Mg 0.0000 0.0000 0.5000
In 0.3490 0.6510 0.6510
Mg 0.0000 0.5000 0.0000
Mg 0.5000 0.7652 0.2348
In 0.6948 0.8052 0.8052
Mg 0.5000 0.5000 0.0000

=====

Number 1: energy of formation from the pure elements -0.04 eV/atom. Number 2: energy of formation from the pure elements -0.07 eV/atom.